(1)
KAc2HfO6 | PBE-GGA | optimized geometry

a = 6.0149 Å, b = 6.4593 Å, c = 10.6567 Å
α = 90.00°, β = 123.08°, γ = 90.00°
With the nearest neighbours (Å) after each atom.
Positions (direct):
K 0.0000 0.0000 0.0000  6 O 2.57-2.87
K 0.0000 0.5000 0.5000  6 O 2.57-2.87
Ac 0.2154 0.0412 0.7255  6 O 2.45-2.66
Ac 0.2154 0.4588 0.2255  6 O 2.45-2.66
Ac 0.7846 0.5412 0.7745  6 O 2.45-2.66
Ac 0.7846 0.9588 0.2745  6 O 2.45-2.66
Hf 0.5000 0.0000 0.5000  6 O 2.08-2.13
Hf 0.5000 0.5000 0.0000  6 O 2.08-2.13
O 0.1710 0.1489 0.4734  1 Hf 2.08
O 0.1710 0.3511 0.9734  1 Hf 2.08
O 0.2350 0.7487 0.3860  1 Hf 2.13
O 0.2350 0.7513 0.8860  1 Hf 2.13
O 0.4276 0.1137 0.2962  1 Hf 2.10
O 0.4276 0.3863 0.7962  1 Hf 2.10
O 0.5724 0.6137 0.2038  1 Hf 2.10
O 0.5724 0.8863 0.7038  1 Hf 2.10
O 0.7650 0.2487 0.1140  1 Hf 2.13
O 0.7650 0.2513 0.6140  1 Hf 2.13
O 0.8290 0.6489 0.0266  1 Hf 2.08
O 0.8290 0.8511 0.5266  1 Hf 2.08

Properties
Its space group is No. 14. The total energy comes out at -156.29 eV/cell. As for the crystal system: monoclinic. As for the formation energy (no corrections): -2.9130 eV/atom. For the calculated volume, the calculation gives 173.45 Å³/f.u. As for the density of states at the Fermi level: 0.67 states/eV/atom.



(2)
K4Ac3HfS8 | PBE-GGA | optimized geometry

a = 8.9161 Å, b = 8.9161 Å, c = 8.9161 Å
α = 56.98°, β = 56.98°, γ = 56.98°
With the nearest neighbours (Å) after each atom.
Positions (direct):
K 0.0000 0.0000 0.0000  6 S 3.52
K 0.0000 0.5000 0.5000  6 S 3.19-3.22
K 0.5000 0.0000 0.5000  6 S 3.19-3.22
K 0.5000 0.5000 0.0000  6 S 3.19-3.22
Ac 0.0000 0.0000 0.5000  6 S 2.98-3.01
Ac 0.0000 0.5000 0.0000  6 S 2.98-3.01
Ac 0.5000 0.0000 0.0000  6 S 2.98-3.01
Hf 0.5000 0.5000 0.5000  6 S 2.65
S 0.2424 0.2424 0.2424  3 Ac 2.98, 3 K 3.19
S 0.2715 0.7152 0.7152  1 Hf 2.65
S 0.2848 0.2848 0.7285  1 Hf 2.65
S 0.2848 0.7285 0.2848  1 Hf 2.65
S 0.7152 0.2715 0.7152  1 Hf 2.65
S 0.7152 0.7152 0.2715  1 Hf 2.65
S 0.7285 0.2848 0.2848  1 Hf 2.65
S 0.7576 0.7576 0.7576  3 Ac 2.98, 3 K 3.19

Properties
Its space group is No. 166. The total energy comes out at -87.33 eV/cell. As for the crystal system: trigonal. As for the formation energy (no corrections): -1.7276 eV/atom. For the calculated volume, the calculation gives 466.28 Å³/f.u. As for the density of states at the Fermi level: 0.24 states/eV/atom.



(3)
K3Ac2HfS6 | PBE-GGA | optimized geometry

a = 7.2728 Å, b = 7.2728 Å, c = 7.8109 Å
α = 99.04°, β = 99.04°, γ = 119.99°
With the nearest neighbours (Å) after each atom.
Positions (direct):
K 0.0000 0.0000 0.0000  6 S 3.16-3.49
K 0.3317 0.6683 0.0000  6 S 3.18-3.44
K 0.6683 0.3317 0.0000  6 S 3.18-3.44
Ac 0.1667 0.8333 0.5000  6 S 2.99
Ac 0.8333 0.1667 0.5000  6 S 2.99
Hf 0.5000 0.5000 0.5000  6 S 2.63-2.64
S 0.1343 0.4304 0.2931  1 Hf 2.64
S 0.2736 0.2736 0.7051  1 Hf 2.63
S 0.4304 0.1343 0.2931  1 Hf 2.64
S 0.5696 0.8657 0.7069  1 Hf 2.64
S 0.7264 0.7264 0.2949  1 Hf 2.63
S 0.8657 0.5696 0.7069  1 Hf 2.64

Properties
Its space group is No. 12. The total energy comes out at -66.50 eV/cell. As for the crystal system: monoclinic. As for the formation energy (no corrections): -1.6895 eV/atom. For the calculated volume, the calculation gives 339.71 Å³/f.u. As for the density of states at the Fermi level: 0.39 states/eV/atom.



(4)
KAc2HfS5 | PBE-GGA | optimized geometry

a = 8.3481 Å, b = 8.3481 Å, c = 8.3481 Å
α = 146.17°, β = 127.43°, γ = 63.99°
With the nearest neighbours (Å) after each atom.
Positions (direct):
K 0.0000 0.0000 0.0000  10 S 3.68-3.70
Ac 0.2946 0.7946 0.5000  7 S 2.91-3.14
Ac 0.7054 0.2054 0.5000  7 S 2.91-3.14
Hf 0.5000 0.5000 0.0000  6 S 2.43-2.62
S 0.1261 0.3618 0.7643  1 Hf 2.62
S 0.4024 0.6382 0.7643  1 Hf 2.62
S 0.5000 0.0000 0.5000  2 Hf 2.43
S 0.5976 0.3618 0.2357  1 Hf 2.62
S 0.8739 0.6382 0.2357  1 Hf 2.62

Properties
Its space group is No. 71. The total energy comes out at -56.45 eV/cell. As for the crystal system: orthorhombic. As for the formation energy (no corrections): -1.8381 eV/atom. For the calculated volume, the calculation gives 254.28 Å³/f.u. As for the density of states at the Fermi level: 0.28 states/eV/atom.



(5)
K3Ac3HfS8 | PBE-GGA | optimized geometry

a = 8.9776 Å, b = 8.9776 Å, c = 8.9776 Å
α = 56.93°, β = 56.93°, γ = 56.93°
With the nearest neighbours (Å) after each atom.
Positions (direct):
K 0.0000 0.5000 0.5000  6 S 3.25-3.28
K 0.5000 0.0000 0.5000  6 S 3.25-3.28
K 0.5000 0.5000 0.0000  6 S 3.25-3.28
Ac 0.0000 0.0000 0.5000  6 S 2.96-3.00
Ac 0.0000 0.5000 0.0000  6 S 2.96-3.00
Ac 0.5000 0.0000 0.0000  6 S 2.96-3.00
Hf 0.5000 0.5000 0.5000  6 S 2.61
S 0.2392 0.2392 0.2392  3 Ac 2.96, 3 K 3.25
S 0.2712 0.7110 0.7110  1 Hf 2.61
S 0.2890 0.2890 0.7288  1 Hf 2.61
S 0.2890 0.7288 0.2890  1 Hf 2.61
S 0.7110 0.2712 0.7110  1 Hf 2.61
S 0.7110 0.7110 0.2712  1 Hf 2.61
S 0.7288 0.2890 0.2890  1 Hf 2.61
S 0.7608 0.7608 0.7608  3 Ac 2.96, 3 K 3.25

Properties
Its space group is No. 166. The total energy comes out at -85.88 eV/cell. As for the crystal system: trigonal. As for the formation energy (no corrections): -1.8193 eV/atom. For the calculated volume, the calculation gives 475.45 Å³/f.u. As for the density of states at the Fermi level: 0.00 states/eV/atom.



(6)
KAcHfSe4 | PBE-GGA | optimized geometry

a = 8.7997 Å, b = 8.7997 Å, c = 7.2641 Å
α = 90.00°, β = 90.00°, γ = 131.10°
With the nearest neighbours (Å) after each atom.
Positions (direct):
K 0.1080 0.8920 0.7500  5 Se 3.07-3.43
K 0.8920 0.1080 0.2500  5 Se 3.07-3.43
Ac 0.3880 0.6120 0.7500  1 Se 3.01
Ac 0.6120 0.3880 0.2500  1 Se 3.01
Hf 0.2418 0.7582 0.2500  5 Se 2.53-2.58
Hf 0.7582 0.2418 0.7500  5 Se 2.53-2.58
Se 0.0000 0.5000 0.0000  2 Hf 2.58
Se 0.0000 0.5000 0.5000  2 Hf 2.58
Se 0.0839 0.9161 0.2500  1 Hf 2.53
Se 0.4242 0.5758 0.2500  1 Hf 2.92, 1 Ac 3.01
Se 0.5000 0.0000 0.0000  2 Hf 2.58
Se 0.5000 0.0000 0.5000  2 Hf 2.58
Se 0.5758 0.4242 0.7500  1 Hf 2.92, 1 Ac 3.01
Se 0.9161 0.0839 0.7500  1 Hf 2.53

Properties
Its space group is No. 63. The total energy comes out at -78.81 eV/cell. As for the crystal system: orthorhombic. As for the formation energy (no corrections): -1.4728 eV/atom. For the calculated volume, the calculation gives 211.95 Å³/f.u. As for the density of states at the Fermi level: 0.01 states/eV/atom.



(7)
K3Ac2HfSe6 | PBE-GGA | optimized geometry

a = 7.5458 Å, b = 7.5458 Å, c = 8.1377 Å
α = 99.00°, β = 99.00°, γ = 120.00°
With the nearest neighbours (Å) after each atom.
Positions (direct):
K 0.0000 0.0000 0.0000  6 Se 3.27-3.59
K 0.3290 0.6710 0.0000  6 Se 3.29-3.52
K 0.6710 0.3290 0.0000  6 Se 3.29-3.52
Ac 0.1663 0.8337 0.5000  6 Se 3.11-3.12
Ac 0.8337 0.1663 0.5000  6 Se 3.11-3.12
Hf 0.5000 0.5000 0.5000  6 Se 2.77-2.78
Se 0.1310 0.4294 0.2893  1 Hf 2.78
Se 0.2736 0.2736 0.7101  1 Hf 2.77
Se 0.4294 0.1310 0.2893  1 Hf 2.78
Se 0.5706 0.8690 0.7107  1 Hf 2.78
Se 0.7264 0.7264 0.2899  1 Hf 2.77
Se 0.8690 0.5706 0.7107  1 Hf 2.78

Properties
Its space group is No. 12. The total energy comes out at -61.31 eV/cell. As for the crystal system: monoclinic. As for the formation energy (no corrections): -1.5787 eV/atom. For the calculated volume, the calculation gives 381.11 Å³/f.u. As for the density of states at the Fermi level: 0.42 states/eV/atom.



(8)
K2AcHfSe4 | PBE-GGA | optimized geometry

a = 7.4191 Å, b = 4.2054 Å, c = 8.1051 Å
α = 90.00°, β = 107.06°, γ = 90.00°
With the nearest neighbours (Å) after each atom.
Positions (direct):
K 0.0000 0.0000 0.0000  6 Se 3.47-3.49
K 0.5000 0.5000 0.0000  6 Se 3.21-3.23
Ac 0.0000 0.5000 0.5000  6 Se 3.08
Hf 0.5000 0.0000 0.5000  6 Se 2.75-2.81
Se 0.2732 0.0000 0.7148  1 Hf 2.75, 2 Ac 3.08
Se 0.2960 0.5000 0.3009  2 Hf 2.81, 1 Ac 3.08
Se 0.7040 0.5000 0.6991  2 Hf 2.81, 1 Ac 3.08
Se 0.7268 0.0000 0.2852  1 Hf 2.75, 2 Ac 3.08

Properties
Its space group is No. 10. The total energy comes out at -41.94 eV/cell. As for the crystal system: monoclinic. As for the formation energy (no corrections): -1.4679 eV/atom. For the calculated volume, the calculation gives 241.76 Å³/f.u. As for the density of states at the Fermi level: 0.42 states/eV/atom.



(9)
K4Ac3HfTe8 | PBE-GGA | optimized geometry

a = 9.9058 Å, b = 9.9058 Å, c = 9.9058 Å
α = 56.44°, β = 56.44°, γ = 56.44°
With the nearest neighbours (Å) after each atom.
Positions (direct):
K 0.0000 0.0000 0.0000  6 Te 3.82
K 0.0000 0.5000 0.5000  6 Te 3.50-3.53
K 0.5000 0.0000 0.5000  6 Te 3.50-3.53
K 0.5000 0.5000 0.0000  6 Te 3.50-3.53
Ac 0.0000 0.0000 0.5000  6 Te 3.32-3.34
Ac 0.0000 0.5000 0.0000  6 Te 3.32-3.34
Ac 0.5000 0.0000 0.0000  6 Te 3.32-3.34
Hf 0.5000 0.5000 0.5000  6 Te 3.00
Te 0.2439 0.2439 0.2439  3 Ac 3.32, 3 K 3.50
Te 0.2697 0.7204 0.7204  1 Hf 3.00, 2 Ac 3.34
Te 0.2796 0.2796 0.7303  1 Hf 3.00, 2 Ac 3.34
Te 0.2796 0.7303 0.2796  1 Hf 3.00, 2 Ac 3.34
Te 0.7204 0.2697 0.7204  1 Hf 3.00, 2 Ac 3.34
Te 0.7204 0.7204 0.2697  1 Hf 3.00, 2 Ac 3.34
Te 0.7303 0.2796 0.2796  1 Hf 3.00, 2 Ac 3.34
Te 0.7561 0.7561 0.7561  3 Ac 3.32, 3 K 3.50

Properties
Its space group is No. 166. The total energy comes out at -72.52 eV/cell. As for the crystal system: trigonal. As for the formation energy (no corrections): -1.2950 eV/atom. For the calculated volume, the calculation gives 630.80 Å³/f.u. As for the density of states at the Fermi level: 0.32 states/eV/atom.



(10)
K2AcHfTe4 | PBE-GGA | optimized geometry

a = 7.9068 Å, b = 4.4687 Å, c = 8.6992 Å
α = 90.00°, β = 106.87°, γ = 90.00°
With the nearest neighbours (Å) after each atom.
Positions (direct):
K 0.0000 0.0000 0.0000  6 Te 3.70
K 0.5000 0.5000 0.0000  6 Te 3.42-3.44
Ac 0.0000 0.5000 0.5000  6 Te 3.29-3.30
Hf 0.5000 0.0000 0.5000  6 Te 2.97-3.01
Te 0.2718 0.0000 0.7180  1 Hf 2.97, 2 Ac 3.29
Te 0.2948 0.5000 0.2984  2 Hf 3.01, 1 Ac 3.30
Te 0.7052 0.5000 0.7016  2 Hf 3.01, 1 Ac 3.30
Te 0.7282 0.0000 0.2820  1 Hf 2.97, 2 Ac 3.29

Properties
Its space group is No. 10. The total energy comes out at -37.79 eV/cell. As for the crystal system: monoclinic. As for the formation energy (no corrections): -1.1203 eV/atom. For the calculated volume, the calculation gives 294.15 Å³/f.u. As for the density of states at the Fermi level: 0.44 states/eV/atom.



(11)
Ac2LaHf | PBE-GGA | optimized geometry

a = 3.5905 Å, b = 3.5905 Å, c = 38.6476 Å
α = 90.00°, β = 90.00°, γ = 120.00°
With the nearest neighbours (Å) after each atom.
Positions (direct):
Ac 0.0000 0.0000 0.0824  1 Hf 3.19
Ac 0.0000 0.0000 0.9176  1 Hf 3.19
Ac 0.3333 0.6667 0.5842  1 Hf 3.19
Ac 0.3333 0.6667 0.7491  1 Hf 3.19
Ac 0.6667 0.3333 0.2509  1 Hf 3.19
Ac 0.6667 0.3333 0.4158  1 Hf 3.19
La 0.0000 0.0000 0.5000  6 La 3.59, 6 Ac 3.86
La 0.3333 0.6667 0.1667  6 La 3.59, 6 Ac 3.86
La 0.6667 0.3333 0.8333  6 La 3.59, 6 Ac 3.86
Hf 0.0000 0.0000 0.0000  2 Ac 3.19
Hf 0.3333 0.6667 0.6667  2 Ac 3.19
Hf 0.6667 0.3333 0.3333  2 Ac 3.19

Properties
Its space group is No. 166. The total energy comes out at -62.76 eV/cell. As for the crystal system: trigonal. For the calculated volume, the calculation gives 143.83 Å³/f.u. The value obtained for the formation energy is 210 kJ/mol of formula units. As for the density of states at the Fermi level: 1.46 states/eV/atom.



(12)
AcLa2Hf | PBE-GGA | optimized geometry

a = 3.5200 Å, b = 3.5200 Å, c = 37.8836 Å
α = 90.00°, β = 90.00°, γ = 120.00°
With the nearest neighbours (Å) after each atom.
Positions (direct):
Ac 0.0000 0.0000 0.0000  6 Ac 3.52, 6 La 3.84
Ac 0.3333 0.6667 0.6667  6 Ac 3.52, 6 La 3.84
Ac 0.6667 0.3333 0.3333  6 Ac 3.52, 6 La 3.84
La 0.0000 0.0000 0.4194  1 Hf 3.05
La 0.0000 0.0000 0.5806  1 Hf 3.05
La 0.3333 0.6667 0.0861  1 Hf 3.05
La 0.3333 0.6667 0.2473  1 Hf 3.05
La 0.6667 0.3333 0.7527  1 Hf 3.05
La 0.6667 0.3333 0.9139  1 Hf 3.05
Hf 0.0000 0.0000 0.5000  2 La 3.05
Hf 0.3333 0.6667 0.1667  2 La 3.05
Hf 0.6667 0.3333 0.8333  2 La 3.05

Properties
Its space group is No. 166. The total energy comes out at -66.03 eV/cell. As for the crystal system: trigonal. For the calculated volume, the calculation gives 135.50 Å³/f.u. The value obtained for the formation energy is 184 kJ/mol of formula units. As for the density of states at the Fermi level: 1.89 states/eV/atom.



Question: What is the total energy in the first record?
Answer: -156.29 eV/cell



Question: What is the calculated volume in the eleventh record?
Answer: 143.83 Å³/f.u.